A plane-wave DFT calculation with PBE was carried out for BaAgTe2O6 after structural relaxation.

Summary:
Space group = C2/c, No. 15
Calculated total energy = -5.333 eV per atom

Cell and atoms, written as POSCAR:
```
BaAgTe2O6
1.0
4.015 -2.790 0.000
4.015 2.790 0.000
-0.100 0.000 16.237
Ba Ag Te O
2 2 4 12
Cartesian
3.941 2.549 12.178
3.990 -2.549 4.059
0.000 0.000 0.000
-0.050 0.000 8.119
2.811 0.024 9.608
2.861 -0.024 1.490
5.070 0.024 14.748
5.120 -0.024 6.629
3.782 1.615 1.758
4.199 1.615 6.361
2.447 0.388 11.391
3.484 1.105 14.929
4.397 1.105 9.427
2.497 -0.388 3.272
5.434 0.388 12.965
3.534 -1.105 6.810
4.447 -1.105 1.308
5.484 -0.388 4.847
3.732 -1.615 9.877
4.149 -1.615 14.479
```

***

A plane-wave DFT calculation with PBE was carried out for BaTmAgO3 after structural relaxation.

Summary:
Space group = Cmcm, No. 63
Calculated total energy = -6.300 eV per atom

Cell and atoms, written as POSCAR:
```
BaTmAgO3
1.0
1.806 -6.788 0.000
1.806 6.788 0.000
0.000 0.000 8.788
Ba Tm Ag O
2 2 2 6
Cartesian
1.806 4.329 6.591
1.806 -4.329 2.197
1.806 0.000 0.000
1.806 0.000 4.394
1.806 5.290 2.197
1.806 -5.290 6.591
1.806 5.354 0.140
1.806 5.354 4.254
1.806 0.625 2.197
1.806 -0.625 6.591
1.806 -5.354 4.534
1.806 -5.354 8.648
```

***

A plane-wave DFT calculation with PBE was carried out for BaZrAg2O6 after structural relaxation.

Summary:
Space group = P4/mmm, No. 123
Calculated total energy = -5.667 eV per atom

Cell and atoms, written as POSCAR:
```
BaZrAg2O6
1.0
3.954 0.000 0.000
0.000 3.954 0.000
0.000 0.000 8.444
Ba Zr Ag O
1 1 2 6
Cartesian
0.000 0.000 0.000
0.000 0.000 4.222
1.977 1.977 2.168
1.977 1.977 6.276
0.000 1.977 2.734
0.000 1.977 5.710
1.977 0.000 2.734
1.977 0.000 5.710
1.977 1.977 0.000
1.977 1.977 4.222
```

***

A plane-wave DFT calculation with PBE was carried out for BaAgOs after structural relaxation.

Summary:
Space group = F-43m, No. 216
Distance to the lowest polymorph of the same formula = 0.0 kJ per mole of atoms
Calculated total energy = -4.200 eV per atom

Cell and atoms, written as POSCAR:
```
BaAgOs
1.0
0.000 3.462 3.462
3.462 0.000 3.462
3.462 3.462 0.000
Ba Ag Os
1 1 1
Cartesian
0.000 0.000 0.000
3.462 3.462 3.462
5.193 5.193 5.193
```

***

A plane-wave DFT calculation with PBE was carried out for Ba2AgOs after structural relaxation.

Summary:
Space group = F-43m, No. 216
Calculated total energy = -3.718 eV per atom

Cell and atoms, written as POSCAR:
```
Ba2AgOs
1.0
0.000 3.761 3.761
3.761 0.000 3.761
3.761 3.761 0.000
Ba Ag Os
2 1 1
Cartesian
0.000 0.000 0.000
1.881 1.881 1.881
5.642 5.642 5.642
3.761 3.761 3.761
```

***

A plane-wave DFT calculation with PBE was carried out for Ba2AgOsS6 after structural relaxation.

Summary:
Space group = R3, No. 146
Distance to the lowest polymorph of the same formula = 0.0 kJ per mole of atoms
Calculated total energy = -4.992 eV per atom

Cell and atoms, written as POSCAR:
```
Ba2AgOsS6
1.0
3.511 2.027 5.495
-3.511 2.027 5.495
0.000 -4.054 5.495
Ba Ag Os S
2 1 1 6
Cartesian
0.000 0.000 0.000
0.000 0.000 8.244
0.000 0.000 3.582
0.000 0.000 11.959
-1.836 -0.829 5.551
-1.818 -2.558 8.239
1.636 -1.176 5.551
0.200 2.005 5.551
-1.307 2.854 8.239
3.125 -0.295 8.239
```

***

A plane-wave DFT calculation with PBE was carried out for Ba2AgOsS6 after structural relaxation.

Summary:
Space group = Fm-3m, No. 225
Distance to the lowest polymorph of the same formula = 7.4 kJ per mole of atoms
Calculated total energy = -4.915 eV per atom

Cell and atoms, written as POSCAR:
```
Ba2AgOsS6
1.0
0.000 4.902 4.902
4.902 0.000 4.902
4.902 4.902 0.000
Ba Ag Os S
2 1 1 6
Cartesian
2.451 2.451 2.451
7.353 7.353 7.353
0.000 0.000 0.000
4.902 4.902 4.902
4.902 4.902 2.540
4.902 2.540 4.902
7.264 4.902 4.902
2.540 4.902 4.902
4.902 7.264 4.902
4.902 4.902 7.264
```

***

A plane-wave DFT calculation with PBE was carried out for BaAg2OsSeS3 after structural relaxation.

Summary:
Space group = P1, No. 1
Calculated total energy = -4.796 eV per atom

Cell and atoms, written as POSCAR:
```
BaAg2OsSeS3
1.0
6.296 0.000 0.000
-2.687 5.724 0.000
-2.314 -2.517 5.423
Ba Ag Os Se S
1 2 1 1 3
Cartesian
0.000 0.000 0.000
0.977 -0.747 3.631
0.166 3.647 1.736
-2.482 1.892 2.683
4.538 -0.384 2.844
-1.866 2.704 4.677
1.626 1.474 2.600
4.457 2.630 0.659
```